Below is a geometry-optimized Na2PtPb structure, with properties calculated at the PBE-GGA level.

Calculated formation energy   -0.22 eV per atom
Magnetic moment   0.00 μB per formula unit

Structure (CIF):
```
data_Na2PtPb
_chemical_formula_sum 'Na8 Pt4 Pb4'
_cell_length_a 10.949
_cell_length_b 4.646
_cell_length_c 8.915
_cell_angle_alpha 90.00
_cell_angle_beta 113.53
_cell_angle_gamma 90.00
_space_group_name_H-M_alt 'C 1 m 1'
_space_group_IT_number 8
loop_
_space_group_symop_operation_xyz
'x,y,z'
'x,-y,z'
'x+1/2,y+1/2,z'
'x+1/2,-y+1/2,z'
loop_
_atom_site_label
_atom_site_type_symbol
_atom_site_fract_x
_atom_site_fract_y
_atom_site_fract_z
_atom_site_occupancy
Na1 Na 0.000 0.000 0.000 1
Na2 Na 0.014 0.000 0.549 1
Na3 Na 0.062 0.500 0.275 1
Na4 Na 0.342 0.000 0.715 1
Pt1 Pt 0.280 0.000 0.004 1
Pt2 Pt 0.323 0.500 0.192 1
Pb1 Pb 0.168 0.500 0.837 1
Pb2 Pb 0.292 0.000 0.340 1
```



Below is a geometry-optimized Pr2CoCuH6 structure, with properties calculated at the PBE-GGA level.

Raw total energy   -89.0 eV per cell
Magnetic moment   0.00 μB per formula unit

Structure (CIF):
```
data_Pr2CoCuH6
_chemical_formula_sum 'Pr4 Co2 Cu2 H12'
_cell_length_a 7.333
_cell_length_b 7.401
_cell_length_c 5.188
_cell_angle_alpha 90.00
_cell_angle_beta 134.80
_cell_angle_gamma 90.00
_space_group_name_H-M_alt 'C 1 2/m 1'
_space_group_IT_number 12
loop_
_space_group_symop_operation_xyz
'x,y,z'
'-x,-y,-z'
'-x,y,-z'
'x,-y,z'
'x+1/2,y+1/2,z'
'-x+1/2,-y+1/2,-z'
'-x+1/2,y+1/2,-z'
'x+1/2,-y+1/2,z'
loop_
_atom_site_label
_atom_site_type_symbol
_atom_site_fract_x
_atom_site_fract_y
_atom_site_fract_z
_atom_site_occupancy
Pr1 Pr 0.000 0.250 0.000 1
Co1 Co 0.000 0.000 0.500 1
Cu1 Cu 0.000 0.500 0.500 1
H1 H 0.000 0.228 0.500 1
H2 H 0.229 0.000 0.957 1
H3 H 0.230 0.000 0.500 1
```



Below is a geometry-optimized NbHRh2 structure, with properties calculated at the PBE-GGA level.

Distance to the lowest polymorph of the same formula   0.330 eV per atom
Magnetic moment   0.15 μB per formula unit

Structure (CIF):
```
data_NbHRh2
_chemical_formula_sum 'Nb3 H3 Rh6'
_cell_length_a 2.8417
_cell_length_b 2.8417
_cell_length_c 22.1507
_cell_angle_alpha 90.00
_cell_angle_beta 90.00
_cell_angle_gamma 120.00
_space_group_name_H-M_alt 'R -3 m'
_space_group_IT_number 166
_space_group_name_Hall '-R 3 2"'
loop_
_atom_site_label
_atom_site_type_symbol
_atom_site_fract_x
_atom_site_fract_y
_atom_site_fract_z
_atom_site_occupancy
Nb1 Nb 0.0000 0.0000 0.0000 1
H1 H 0.0000 0.0000 0.5000 1
Rh1 Rh 0.0000 0.0000 0.1106 1
```



Below is a geometry-optimized ZnTcMoRh structure, with properties calculated at the PBE-GGA level.

Calculated formation energy   -0.07 eV per atom
Magnetic moment   0.00 μB per formula unit

Structure (CIF):
```
data_ZnTcMoRh
_chemical_formula_sum 'Zn4 Tc4 Mo4 Rh4'
_cell_length_a 6.162
_cell_length_b 6.162
_cell_length_c 6.162
_cell_angle_alpha 90.00
_cell_angle_beta 90.00
_cell_angle_gamma 90.00
_space_group_name_H-M_alt 'F -4 3 m'
_space_group_IT_number 216
_space_group_name_Hall 'F -4 2 3'
loop_
_atom_site_label
_atom_site_type_symbol
_atom_site_fract_x
_atom_site_fract_y
_atom_site_fract_z
_atom_site_occupancy
Zn1 Zn 0.000 0.000 0.000 1
Tc1 Tc 0.250 0.250 0.750 1
Mo1 Mo 0.000 0.000 0.500 1
Rh1 Rh 0.250 0.250 0.250 1
```



Below is a geometry-optimized LiYOs2 structure, with properties calculated at the PBE-GGA level.

Calculated formation energy   0.48 eV per atom
Distance to the lowest polymorph of the same formula   0.282 eV per atom
Magnetic moment   0.00 μB per formula unit

Structure (CIF):
```
data_LiYOs2
_chemical_formula_sum 'Li2 Y2 Os4'
_cell_length_a 3.140
_cell_length_b 4.641
_cell_length_c 9.020
_cell_angle_alpha 90.00
_cell_angle_beta 90.00
_cell_angle_gamma 90.00
_space_group_name_H-M_alt 'C m m m'
_space_group_IT_number 65
_space_group_name_Hall '-C 2 2'
loop_
_atom_site_label
_atom_site_type_symbol
_atom_site_fract_x
_atom_site_fract_y
_atom_site_fract_z
_atom_site_occupancy
Li1 Li 0.000 0.000 0.000 1
Y1 Y 0.000 0.000 0.500 1
Os1 Os 0.000 0.500 0.239 1
```



Below is a geometry-optimized Tb6RhS5 structure, with properties calculated at the PBE-GGA level.

E_form (uncorrected)   -1.795 eV per atom
Magnetic moment   0.00 μB per formula unit

Structure (CIF):
```
data_Tb6RhS5
_chemical_formula_sum 'Tb12 Rh2 S10'
_cell_length_a 6.879
_cell_length_b 11.884
_cell_length_c 6.842
_cell_angle_alpha 90.00
_cell_angle_beta 109.58
_cell_angle_gamma 90.00
_space_group_name_H-M_alt 'C 1 2/m 1'
_space_group_IT_number 12
loop_
_space_group_symop_operation_xyz
'x,y,z'
'-x,-y,-z'
'-x,y,-z'
'x,-y,z'
'x+1/2,y+1/2,z'
'-x+1/2,-y+1/2,-z'
'-x+1/2,y+1/2,-z'
'x+1/2,-y+1/2,z'
loop_
_atom_site_label
_atom_site_type_symbol
_atom_site_fract_x
_atom_site_fract_y
_atom_site_fract_z
_atom_site_occupancy
Tb1 Tb 0.247 0.165 0.246 1
Tb2 Tb 0.248 0.000 0.750 1
Rh1 Rh 0.000 0.000 0.000 1
S1 S 0.000 0.171 0.500 1
S2 S 0.000 0.334 0.000 1
S3 S 0.000 0.500 0.500 1
```



Repeat the third record exactly.
Below is a geometry-optimized NbHRh2 structure, with properties calculated at the PBE-GGA level.

Distance to the lowest polymorph of the same formula   0.330 eV per atom
Magnetic moment   0.15 μB per formula unit

Structure (CIF):
```
data_NbHRh2
_chemical_formula_sum 'Nb3 H3 Rh6'
_cell_length_a 2.8417
_cell_length_b 2.8417
_cell_length_c 22.1507
_cell_angle_alpha 90.00
_cell_angle_beta 90.00
_cell_angle_gamma 120.00
_space_group_name_H-M_alt 'R -3 m'
_space_group_IT_number 166
_space_group_name_Hall '-R 3 2"'
loop_
_atom_site_label
_atom_site_type_symbol
_atom_site_fract_x
_atom_site_fract_y
_atom_site_fract_z
_atom_site_occupancy
Nb1 Nb 0.0000 0.0000 0.0000 1
H1 H 0.0000 0.0000 0.5000 1
Rh1 Rh 0.0000 0.0000 0.1106 1
```



The highest magnetic moment belongs to which entry? NbHRh2